RbSr2Cu (PBE-GGA, relaxed); energy above the lowest structure with this stoichiometry = 310 meV/atom; calculated formation energy = 0.39 eV per atom; calculated total energy = -6.86 eV/f.u.; mass density = 3.307 g/cm³
1.0
0.000 4.334 4.334
4.334 0.000 4.334
4.334 4.334 0.000
Cu Sr Rb
1 2 1
direct
0.000 0.000 0.000 Cu
0.750 0.750 0.750 Sr
0.250 0.250 0.250 Sr
0.500 0.500 0.500 Rb

=====

Ac2VZnN4 (PBE-GGA, relaxed); calculated total energy = -57.05 eV/f.u.; mass density = 8.182 g/cm³
1.0
-3.161 1.499 -3.116
-3.360 -4.542 -2.299
-8.008 1.921 5.525
V N Ac Zn
2 8 4 2
direct
0.250 0.500 0.500 V
0.500 0.000 0.000 V
0.327 0.786 0.100 N
0.423 0.714 0.400 N
0.886 0.786 0.900 N
0.536 0.286 0.600 N
0.214 0.214 0.900 N
0.177 0.286 0.400 N
0.573 0.214 0.100 N
0.864 0.714 0.600 N
0.176 0.000 0.649 Ac
0.574 0.500 0.851 Ac
0.824 0.000 0.351 Ac
0.926 0.500 0.149 Ac
0.750 0.500 0.500 Zn
0.000 0.000 0.000 Zn

=====

LiPm2Ga4Pt3 (PBE-GGA, relaxed); calculated formation energy = -0.87 eV per atom; calculated total energy = -50.38 eV/f.u.; mass density = 10.004 g/cm³
1.0
-3.797 1.214 -1.458
-0.914 -4.029 -0.974
-4.189 -1.405 9.742
Pt Ga Li Pm
3 4 1 2
direct
0.500 0.000 0.864 Pt
0.000 0.000 0.500 Pt
0.000 0.500 0.136 Pt
0.000 0.500 0.370 Ga
0.000 0.000 0.000 Ga
0.500 0.500 0.000 Ga
0.500 0.000 0.630 Ga
0.500 0.500 0.500 Li
0.500 0.000 0.242 Pm
0.000 0.500 0.758 Pm

=====

SmGdCuPb (PBE-GGA, relaxed); calculated formation energy = -0.32 eV per atom; calculated total energy = -27.89 eV/f.u.; mass density = 9.228 g/cm³
1.0
5.280 0.000 0.000
2.640 4.572 0.000
2.640 1.524 4.311
Sm Pb Gd Cu
1 1 1 1
direct
0.500 0.500 0.500 Sm
0.750 0.750 0.750 Pb
0.000 0.000 0.000 Gd
0.250 0.250 0.250 Cu

=====

Ba5ZnHg4 (PBE-GGA, relaxed); calculated formation energy = -0.45 eV per atom; calculated total energy = -16.58 eV/f.u.; mass density = 7.010 g/cm³
1.0
-1.684 3.400 1.766
-3.298 -2.268 1.223
9.800 -4.521 18.042
Ba Hg Zn
5 4 1
direct
0.500 0.500 0.097 Ba
0.500 0.500 0.298 Ba
0.500 0.500 0.702 Ba
0.500 0.500 0.903 Ba
0.500 0.500 0.500 Ba
0.000 0.000 0.803 Hg
0.000 0.000 0.197 Hg
0.000 0.000 0.601 Hg
0.000 0.000 0.399 Hg
0.000 0.000 0.000 Zn

=====

PPbCl2 (PBE-GGA, relaxed); energy above the lowest structure with this stoichiometry = 529 meV/atom; calculated total energy = -12.21 eV/f.u.; mass density = 5.781 g/cm³
1.0
5.007 0.000 0.000
2.504 4.337 0.000
2.504 1.446 4.088
Cl Pb P
2 1 1
direct
0.000 0.000 0.000 Cl
0.250 0.250 0.250 Cl
0.750 0.750 0.750 Pb
0.500 0.500 0.500 P

=====

LiAcMg2Cd2 (PBE-GGA, relaxed); calculated formation energy = -0.19 eV per atom; calculated total energy = -12.18 eV/f.u.; mass density = 5.366 g/cm³
1.0
-4.648 -0.400 -1.838
2.291 -4.025 1.921
-2.705 1.562 6.500
Mg Cd Ac Li
2 2 1 1
direct
0.333 0.667 0.672 Mg
0.667 0.333 0.328 Mg
0.333 0.667 0.261 Cd
0.667 0.333 0.739 Cd
0.000 0.000 0.000 Ac
0.000 0.000 0.500 Li

=====

LaFeHg2 (PBE-GGA, relaxed); calculated formation energy = 0.37 eV per atom; calculated total energy = -12.51 eV/f.u.; mass density = 10.366 g/cm³
1.0
-3.960 0.079 1.414
-1.082 -2.879 -2.869
-0.177 -9.266 6.280
Hg La Fe
4 2 2
direct
0.875 0.843 0.750 Hg
0.157 0.625 0.250 Hg
0.593 0.125 0.250 Hg
0.375 0.407 0.750 Hg
0.000 0.000 0.000 La
0.750 0.250 0.500 La
0.500 0.500 0.000 Fe
0.250 0.750 0.500 Fe

=====

Tb6PmNd2 (PBE-GGA, relaxed); energy above the lowest structure with this stoichiometry = 0 meV/atom; calculated formation energy = 0.09 eV per atom; calculated total energy = -41.22 eV/f.u.; mass density = 7.796 g/cm³
1.0
-5.586 0.850 2.393
-4.666 -6.679 -6.051
-0.468 -9.039 4.591
Nd Tb Pm
4 12 2
direct
0.581 0.433 0.233 Nd
0.919 0.767 0.567 Nd
0.081 0.233 0.433 Nd
0.419 0.567 0.767 Nd
0.650 0.075 0.351 Tb
0.850 0.649 0.925 Tb
0.985 0.409 0.686 Tb
0.682 0.257 0.980 Tb
0.150 0.351 0.075 Tb
0.318 0.743 0.020 Tb
0.818 0.020 0.743 Tb
0.485 0.686 0.409 Tb
0.182 0.980 0.257 Tb
0.350 0.925 0.649 Tb
0.015 0.591 0.314 Tb
0.515 0.314 0.591 Tb
0.750 0.901 0.099 Pm
0.250 0.099 0.901 Pm

=====

MnSi2Au (PBE-GGA, relaxed); energy above the lowest structure with this stoichiometry = 370 meV/atom; calculated total energy = -22.38 eV/f.u.; mass density = 8.289 g/cm³
1.0
3.940 0.000 0.000
0.000 3.940 0.000
1.970 1.970 7.953
Si Au Mn
4 2 2
direct
0.176 0.625 0.250 Si
0.875 0.824 0.750 Si
0.375 0.426 0.750 Si
0.574 0.125 0.250 Si
0.750 0.250 0.500 Au
0.000 0.000 0.000 Au
0.500 0.500 0.000 Mn
0.250 0.750 0.500 Mn

=====

Sm3Zn2Ga4 (PBE-GGA, relaxed); calculated formation energy = -0.60 eV per atom; calculated total energy = -34.18 eV/f.u.; mass density = 7.366 g/cm³
1.0
-1.316 4.210 0.315
-1.249 -2.322 -5.222
-6.222 -2.348 5.381
Zn Sm Ga
2 3 4
direct
0.605 0.210 0.275 Zn
0.395 0.790 0.725 Zn
0.669 0.338 0.667 Sm
0.000 0.000 0.000 Sm
0.331 0.662 0.333 Sm
0.704 0.408 0.039 Ga
0.296 0.592 0.961 Ga
0.935 0.870 0.600 Ga
0.065 0.130 0.400 Ga

=====

Nd3Ga2Cu3 (PBE-GGA, relaxed); energy above the lowest structure with this stoichiometry = 0 meV/atom; calculated formation energy = -0.37 eV per atom; calculated total energy = -35.62 eV/f.u.; mass density = 7.348 g/cm³
1.0
-3.839 -0.778 -2.053
1.499 -4.256 3.572
-7.191 6.641 10.931
Cu Nd Ga
6 6 4
direct
0.610 0.220 0.459 Cu
0.390 0.780 0.541 Cu
0.311 0.621 0.250 Cu
0.610 0.220 0.041 Cu
0.689 0.379 0.750 Cu
0.390 0.780 0.959 Cu
0.102 0.203 0.898 Nd
0.401 0.802 0.750 Nd
0.898 0.797 0.102 Nd
0.599 0.198 0.250 Nd
0.898 0.797 0.398 Nd
0.102 0.203 0.602 Nd
0.804 0.608 0.901 Ga
0.196 0.392 0.099 Ga
0.196 0.392 0.401 Ga
0.804 0.608 0.599 Ga